## A
First-principles (GGA-PBE) data for a relaxed structure of La2Pr6Mg, as listed in the Alexandria database.

Cell and atoms, written as CIF:
```
data_La2Pr6Mg
_cell_length_a 9.556
_cell_length_b 21.562
_cell_length_c 6.582
_cell_angle_alpha 90.00
_cell_angle_beta 111.65
_cell_angle_gamma 90.00
_space_group_name_H-M_alt 'C 1 2/c 1'
_space_group_IT_number 15
_space_group_name_Hall '-C 2yc'
loop_
_atom_site_label
_atom_site_type_symbol
_atom_site_fract_x
_atom_site_fract_y
_atom_site_fract_z
_atom_site_occupancy
La1 La 0.122 0.148 0.102 1
Pr1 Pr 0.056 0.424 0.537 1
Pr2 Pr 0.172 0.039 0.709 1
Pr3 Pr 0.204 0.299 0.286 1
Mg1 Mg 0.000 0.284 0.750 1
```

***

## B
First-principles (GGA-PBE) data for a relaxed structure of La2Pr6Mg, as listed in the Alexandria database.

Cell and atoms, written as CIF:
```
data_La2Pr6Mg
_cell_length_a 3.6745
_cell_length_b 3.6745
_cell_length_c 27.4628
_cell_angle_alpha 90.00
_cell_angle_beta 90.00
_cell_angle_gamma 120.00
_space_group_name_H-M_alt 'P -6 m 2'
_space_group_IT_number 187
_space_group_name_Hall 'P -6 2'
loop_
_atom_site_label
_atom_site_type_symbol
_atom_site_fract_x
_atom_site_fract_y
_atom_site_fract_z
_atom_site_occupancy
La1 La 0.0000 0.0000 0.1730 1
Pr1 Pr 0.0000 0.0000 0.3981 1
Pr2 Pr 0.6667 0.3333 0.0636 1
Pr3 Pr 0.6667 0.3333 0.2884 1
Mg1 Mg 0.6667 0.3333 0.5000 1
```

***

What are the relative energies? In kJ/mol of atoms: A 0.5; B 0.0.

***

## A
First-principles (GGA-PBE) data for a relaxed structure of La6PrMg2, as listed in the Alexandria database.

Cell and atoms, written as CIF:
```
data_La6PrMg2
_cell_length_a 6.291
_cell_length_b 10.780
_cell_length_c 8.989
_cell_angle_alpha 90.00
_cell_angle_beta 90.00
_cell_angle_gamma 90.00
_space_group_name_H-M_alt 'C 2 2 2'
_space_group_IT_number 21
_space_group_name_Hall 'C 2 2'
loop_
_atom_site_label
_atom_site_type_symbol
_atom_site_fract_x
_atom_site_fract_y
_atom_site_fract_z
_atom_site_occupancy
La1 La 0.000 0.174 0.000 1
La2 La 0.241 0.415 0.661 1
Pr1 Pr 0.000 0.500 0.000 1
Mg1 Mg 0.250 0.250 0.329 1
```

***

## B
First-principles (GGA-PBE) data for a relaxed structure of La6PrMg2, as listed in the Alexandria database.

Cell and atoms, written as CIF:
```
data_La6PrMg2
_cell_length_a 5.041
_cell_length_b 5.041
_cell_length_c 12.468
_cell_angle_alpha 90.00
_cell_angle_beta 90.00
_cell_angle_gamma 90.00
_space_group_name_H-M_alt 'P 4/m m m'
_space_group_IT_number 123
_space_group_name_Hall '-P 4 2'
loop_
_atom_site_label
_atom_site_type_symbol
_atom_site_fract_x
_atom_site_fract_y
_atom_site_fract_z
_atom_site_occupancy
La1 La 0.000 0.000 0.000 1
La2 La 0.000 0.500 0.213 1
La3 La 0.500 0.500 0.000 1
Pr1 Pr 0.000 0.000 0.500 1
Mg1 Mg 0.500 0.500 0.391 1
```

***

What are the relative energies? In kJ/mol of atoms: A 0.0; B 8.3.

***

## A
First-principles (GGA-PBE) data for a relaxed structure of La3Pr3Mg, as listed in the Alexandria database.

Cell and atoms, written as CIF:
```
data_La3Pr3Mg
_cell_length_a 9.7899
_cell_length_b 9.7899
_cell_length_c 5.8935
_cell_angle_alpha 90.00
_cell_angle_beta 90.00
_cell_angle_gamma 120.00
_space_group_name_H-M_alt 'P 63/m'
_space_group_IT_number 176
_space_group_name_Hall '-P 6c'
loop_
_atom_site_label
_atom_site_type_symbol
_atom_site_fract_x
_atom_site_fract_y
_atom_site_fract_z
_atom_site_occupancy
La1 La 0.0583 0.8129 0.2500 1
Pr1 Pr 0.1040 0.6258 0.7500 1
Mg1 Mg 0.3333 0.6667 0.2500 1
```

***

## B
First-principles (GGA-PBE) data for a relaxed structure of La3Pr3Mg, as listed in the Alexandria database.

Cell and atoms, written as CIF:
```
data_La3Pr3Mg
_cell_length_a 9.8098
_cell_length_b 9.8098
_cell_length_c 5.8715
_cell_angle_alpha 90.00
_cell_angle_beta 90.00
_cell_angle_gamma 120.00
_space_group_name_H-M_alt 'P 63/m'
_space_group_IT_number 176
_space_group_name_Hall '-P 6c'
loop_
_atom_site_label
_atom_site_type_symbol
_atom_site_fract_x
_atom_site_fract_y
_atom_site_fract_z
_atom_site_occupancy
La1 La 0.1045 0.4765 0.2500 1
Pr1 Pr 0.0551 0.2416 0.7500 1
Mg1 Mg 0.3333 0.6667 0.7500 1
```

***

What are the relative energies? In kJ/mol of atoms: A 0.8; B 0.0.

***

## A
First-principles (GGA-PBE) data for a relaxed structure of La3Pr2Mg, as listed in the Alexandria database.

Cell and atoms, written as CIF:
```
data_La3Pr2Mg
_cell_length_a 7.2850
_cell_length_b 7.2850
_cell_length_c 8.9834
_cell_angle_alpha 90.00
_cell_angle_beta 90.00
_cell_angle_gamma 120.00
_space_group_name_H-M_alt 'P -3 m 1'
_space_group_IT_number 164
_space_group_name_Hall '-P 3 2"'
loop_
_atom_site_label
_atom_site_type_symbol
_atom_site_fract_x
_atom_site_fract_y
_atom_site_fract_z
_atom_site_occupancy
La1 La 0.1672 0.3343 0.1662 1
Pr1 Pr 0.0000 0.0000 0.5000 1
Pr2 Pr 0.0000 0.5000 0.5000 1
Mg1 Mg 0.3333 0.6667 0.8308 1
```

***

## B
First-principles (GGA-PBE) data for a relaxed structure of La3Pr2Mg, as listed in the Alexandria database.

Cell and atoms, written as CIF:
```
data_La3Pr2Mg
_cell_length_a 3.444
_cell_length_b 18.069
_cell_length_c 6.751
_cell_angle_alpha 90.00
_cell_angle_beta 90.00
_cell_angle_gamma 90.00
_space_group_name_H-M_alt 'I m m 2'
_space_group_IT_number 44
_space_group_name_Hall 'I 2 -2'
loop_
_atom_site_label
_atom_site_type_symbol
_atom_site_fract_x
_atom_site_fract_y
_atom_site_fract_z
_atom_site_occupancy
La1 La 0.000 0.000 0.000 1
La2 La 0.000 0.360 0.761 1
Pr1 Pr 0.000 0.313 0.268 1
Mg1 Mg 0.000 0.500 0.058 1
```

***

What are the relative energies? In kJ/mol of atoms: A 0.0; B 19.3.

***

## A
First-principles (GGA-PBE) data for a relaxed structure of La8Pr2Mg, as listed in the Alexandria database.

Cell and atoms, written as CIF:
```
data_La8Pr2Mg
_cell_length_a 5.270
_cell_length_b 5.270
_cell_length_c 14.657
_cell_angle_alpha 90.00
_cell_angle_beta 90.00
_cell_angle_gamma 90.00
_space_group_name_H-M_alt 'P 4/m m m'
_space_group_IT_number 123
_space_group_name_Hall '-P 4 2'
loop_
_atom_site_label
_atom_site_type_symbol
_atom_site_fract_x
_atom_site_fract_y
_atom_site_fract_z
_atom_site_occupancy
La1 La 0.000 0.000 0.179 1
La2 La 0.000 0.500 0.000 1
La3 La 0.000 0.500 0.357 1
Pr1 Pr 0.500 0.500 0.184 1
Mg1 Mg 0.500 0.500 0.500 1
```

***

## B
First-principles (GGA-PBE) data for a relaxed structure of La8Pr2Mg, as listed in the Alexandria database.

Cell and atoms, written as CIF:
```
data_La8Pr2Mg
_cell_length_a 16.601
_cell_length_b 6.051
_cell_length_c 9.332
_cell_angle_alpha 90.00
_cell_angle_beta 123.37
_cell_angle_gamma 90.00
_space_group_name_H-M_alt 'C 1 2/m 1'
_space_group_IT_number 12
_space_group_name_Hall '-C 2y'
loop_
_atom_site_label
_atom_site_type_symbol
_atom_site_fract_x
_atom_site_fract_y
_atom_site_fract_z
_atom_site_occupancy
La1 La 0.033 0.000 0.353 1
La2 La 0.088 0.500 0.744 1
La3 La 0.131 0.000 0.098 1
La4 La 0.174 0.500 0.438 1
Pr1 Pr 0.214 0.000 0.808 1
Mg1 Mg 0.000 0.500 0.000 1
```

***

What are the relative energies? In kJ/mol of atoms: A 2.0; B 0.0.

***

## A
First-principles (GGA-PBE) data for a relaxed structure of La2Pr7Mg2, as listed in the Alexandria database.

Cell and atoms, written as CIF:
```
data_La2Pr7Mg2
_cell_length_a 10.920
_cell_length_b 11.843
_cell_length_c 6.310
_cell_angle_alpha 90.00
_cell_angle_beta 111.82
_cell_angle_gamma 90.00
_space_group_name_H-M_alt 'C 1 2/m 1'
_space_group_IT_number 12
_space_group_name_Hall '-C 2y'
loop_
_atom_site_label
_atom_site_type_symbol
_atom_site_fract_x
_atom_site_fract_y
_atom_site_fract_z
_atom_site_occupancy
La1 La 0.204 0.000 0.097 1
Pr1 Pr 0.000 0.000 0.500 1
Pr2 Pr 0.082 0.500 0.300 1
Pr3 Pr 0.177 0.242 0.686 1
Mg1 Mg 0.000 0.237 0.000 1
```

***

## B
First-principles (GGA-PBE) data for a relaxed structure of La2Pr7Mg2, as listed in the Alexandria database.

Cell and atoms, written as CIF:
```
data_La2Pr7Mg2
_cell_length_a 8.996
_cell_length_b 10.017
_cell_length_c 8.863
_cell_angle_alpha 90.00
_cell_angle_beta 108.18
_cell_angle_gamma 90.00
_space_group_name_H-M_alt 'C 1 2/m 1'
_space_group_IT_number 12
_space_group_name_Hall '-C 2y'
loop_
_atom_site_label
_atom_site_type_symbol
_atom_site_fract_x
_atom_site_fract_y
_atom_site_fract_z
_atom_site_occupancy
La1 La 0.000 0.179 0.000 1
Pr1 Pr 0.000 0.500 0.500 1
Pr2 Pr 0.141 0.500 0.914 1
Pr3 Pr 0.209 0.177 0.675 1
Mg1 Mg 0.115 0.000 0.335 1
```

***

What are the relative energies? In kJ/mol of atoms: A 4.1; B 0.0.

***

## A
First-principles (GGA-PBE) data for a relaxed structure of La3Pr6Mg, as listed in the Alexandria database.

Cell and atoms, written as CIF:
```
data_La3Pr6Mg
_cell_length_a 10.853
_cell_length_b 12.199
_cell_length_c 5.447
_cell_angle_alpha 90.00
_cell_angle_beta 90.00
_cell_angle_gamma 90.00
_space_group_name_H-M_alt 'P n n m'
_space_group_IT_number 58
_space_group_name_Hall '-P 2 2n'
loop_
_atom_site_label
_atom_site_type_symbol
_atom_site_fract_x
_atom_site_fract_y
_atom_site_fract_z
_atom_site_occupancy
La1 La 0.000 0.000 0.000 1
La2 La 0.120 0.219 0.500 1
Pr1 Pr 0.072 0.747 0.000 1
Pr2 Pr 0.174 0.579 0.500 1
Pr3 Pr 0.218 0.886 0.500 1
Mg1 Mg 0.000 0.500 0.000 1
```

***

## B
First-principles (GGA-PBE) data for a relaxed structure of La3Pr6Mg, as listed in the Alexandria database.

Cell and atoms, written as CIF:
```
data_La3Pr6Mg
_cell_length_a 13.505
_cell_length_b 16.138
_cell_length_c 6.587
_cell_angle_alpha 90.00
_cell_angle_beta 90.00
_cell_angle_gamma 90.00
_space_group_name_H-M_alt 'C m c 21'
_space_group_IT_number 36
_space_group_name_Hall 'C 2c -2'
loop_
_atom_site_label
_atom_site_type_symbol
_atom_site_fract_x
_atom_site_fract_y
_atom_site_fract_z
_atom_site_occupancy
La1 La 0.000 0.145 0.000 1
La2 La 0.198 0.414 0.341 1
Pr1 Pr 0.000 0.247 0.498 1
Pr2 Pr 0.000 0.451 0.656 1
Pr3 Pr 0.120 0.053 0.503 1
Pr4 Pr 0.216 0.304 0.804 1
Mg1 Mg 0.000 0.346 0.067 1
```

***

What are the relative energies? In kJ/mol of atoms: A 0.0; B 1.4.

***

## A
First-principles (GGA-PBE) data for a relaxed structure of La3Pr7Mg, as listed in the Alexandria database.

Cell and atoms, written as CIF:
```
data_La3Pr7Mg
_cell_length_a 7.2590
_cell_length_b 7.2590
_cell_length_c 8.9325
_cell_angle_alpha 90.00
_cell_angle_beta 90.00
_cell_angle_gamma 120.00
_space_group_name_H-M_alt 'P 3 m 1'
_space_group_IT_number 156
_space_group_name_Hall 'P 3 -2"'
loop_
_atom_site_label
_atom_site_type_symbol
_atom_site_fract_x
_atom_site_fract_y
_atom_site_fract_z
_atom_site_occupancy
La1 La 0.0013 0.5006 0.0000 1
Pr1 Pr 0.1683 0.3367 0.3352 1
Pr2 Pr 0.3333 0.6667 0.6685 1
Pr3 Pr 0.3342 0.1671 0.6608 1
Mg1 Mg 0.6667 0.3333 0.3381 1
```

***

## B
First-principles (GGA-PBE) data for a relaxed structure of La3Pr7Mg, as listed in the Alexandria database.

Cell and atoms, written as CIF:
```
data_La3Pr7Mg
_cell_length_a 3.656
_cell_length_b 26.590
_cell_length_c 16.125
_cell_angle_alpha 90.00
_cell_angle_beta 90.00
_cell_angle_gamma 90.00
_space_group_name_H-M_alt 'C m c m'
_space_group_IT_number 63
_space_group_name_Hall '-C 2c 2'
loop_
_atom_site_label
_atom_site_type_symbol
_atom_site_fract_x
_atom_site_fract_y
_atom_site_fract_z
_atom_site_occupancy
La1 La 0.000 0.143 0.032 1
La2 La 0.000 0.181 0.750 1
Pr1 Pr 0.000 0.261 0.098 1
Pr2 Pr 0.000 0.341 0.750 1
Pr3 Pr 0.000 0.419 0.140 1
Pr4 Pr 0.000 0.457 0.583 1
Mg1 Mg 0.000 0.012 0.250 1
```

***

What are the relative energies? In kJ/mol of atoms: A 2.9; B 0.0.

***

## A
First-principles (GGA-PBE) data for a relaxed structure of La2Pr4Mg, as listed in the Alexandria database.

Cell and atoms, written as CIF:
```
data_La2Pr4Mg
_cell_length_a 4.840
_cell_length_b 4.840
_cell_length_c 11.484
_cell_angle_alpha 90.00
_cell_angle_beta 90.00
_cell_angle_gamma 90.00
_space_group_name_H-M_alt 'P -4 2 m'
_space_group_IT_number 111
_space_group_name_Hall 'P -4 2'
loop_
_atom_site_label
_atom_site_type_symbol
_atom_site_fract_x
_atom_site_fract_y
_atom_site_fract_z
_atom_site_occupancy
La1 La 0.000 0.500 0.000 1
Pr1 Pr 0.239 0.239 0.733 1
Mg1 Mg 0.500 0.500 0.500 1
```

***

## B
First-principles (GGA-PBE) data for a relaxed structure of La2Pr4Mg, as listed in the Alexandria database.

Cell and atoms, written as CIF:
```
data_La2Pr4Mg
_cell_length_a 6.081
_cell_length_b 6.843
_cell_length_c 12.004
_cell_angle_alpha 90.00
_cell_angle_beta 103.60
_cell_angle_gamma 90.00
_space_group_name_H-M_alt 'P 1 21/m 1'
_space_group_IT_number 11
_space_group_name_Hall '-P 2yb'
loop_
_atom_site_label
_atom_site_type_symbol
_atom_site_fract_x
_atom_site_fract_y
_atom_site_fract_z
_atom_site_occupancy
La1 La 0.051 0.250 0.486 1
La2 La 0.348 0.750 0.069 1
Pr1 Pr 0.137 0.005 0.781 1
Pr2 Pr 0.205 0.250 0.060 1
Pr3 Pr 0.399 0.750 0.380 1
Mg1 Mg 0.463 0.250 0.330 1
```

***

What are the relative energies? In kJ/mol of atoms: A 40.4; B 0.0.

***

## A
First-principles (GGA-PBE) data for a relaxed structure of LaTbPrMg, as listed in the Alexandria database.

Cell and atoms, written as CIF:
```
data_LaTbPrMg
_cell_length_a 8.030
_cell_length_b 8.030
_cell_length_c 8.030
_cell_angle_alpha 90.00
_cell_angle_beta 90.00
_cell_angle_gamma 90.00
_space_group_name_H-M_alt 'F -4 3 m'
_space_group_IT_number 216
_space_group_name_Hall 'F -4 2 3'
loop_
_atom_site_label
_atom_site_type_symbol
_atom_site_fract_x
_atom_site_fract_y
_atom_site_fract_z
_atom_site_occupancy
La1 La 0.000 0.000 0.000 1
Tb1 Tb 0.250 0.250 0.750 1
Pr1 Pr 0.000 0.000 0.500 1
Mg1 Mg 0.250 0.250 0.250 1
```

***

## B
First-principles (GGA-PBE) data for a relaxed structure of LaTbPrMg, as listed in the Alexandria database.

Cell and atoms, written as CIF:
```
data_LaTbPrMg
_cell_length_a 3.764
_cell_length_b 3.764
_cell_length_c 9.087
_cell_angle_alpha 90.00
_cell_angle_beta 90.00
_cell_angle_gamma 90.00
_space_group_name_H-M_alt 'P 4 m m'
_space_group_IT_number 99
_space_group_name_Hall 'P 4 -2'
loop_
_atom_site_label
_atom_site_type_symbol
_atom_site_fract_x
_atom_site_fract_y
_atom_site_fract_z
_atom_site_occupancy
La1 La 0.000 0.000 0.000 1
Tb1 Tb 0.500 0.500 0.728 1
Pr1 Pr 0.500 0.500 0.284 1
Mg1 Mg 0.000 0.000 0.516 1
```

***

What are the relative energies? In kJ/mol of atoms: A 4.9; B 0.0.